#1
## PmDy6Ho4 (GGA-PBE)

Data for a relaxed structure of PmDy6Ho4.

Output
**DOS at the Fermi energy**: 1.8328 states/eV/atom
**Calculated density**: 8.4 g/cm3

abc: 5.5793 5.5793 25.5994
angles: 90.00 90.00 118.54
Closest atoms and distances in Å follow each position.
Atoms (fractional coordinates):
Pm 0.1915 0.8085 0.7500  3 Dy 3.21-3.26
Pm 0.8085 0.1915 0.2500  3 Dy 3.21-3.26
Dy 0.1385 0.8615 0.1808  4 Ho 3.50-3.63, 7 Dy 3.54-3.84, 3 Pm 3.63-3.73
Dy 0.1385 0.8615 0.3192  4 Ho 3.50-3.63, 7 Dy 3.54-3.84, 3 Pm 3.63-3.73
Dy 0.1933 0.8067 0.6023  5 Ho 3.28-3.55
Dy 0.1933 0.8067 0.8977  5 Ho 3.28-3.55
Dy 0.4739 0.5261 0.2500  3 Pm 3.21-3.26, 2 Ho 3.30
Dy 0.5000 0.5000 0.0000  8 Ho 3.12-3.48
Dy 0.5000 0.5000 0.5000  8 Ho 3.12-3.48
Dy 0.5261 0.4739 0.7500  3 Pm 3.21-3.26, 2 Ho 3.30
Dy 0.8067 0.1933 0.1023  5 Ho 3.28-3.55
Dy 0.8067 0.1933 0.3977  5 Ho 3.28-3.55
Dy 0.8615 0.1385 0.6808  4 Ho 3.50-3.63, 7 Dy 3.54-3.84, 3 Pm 3.63-3.73
Dy 0.8615 0.1385 0.8192  4 Ho 3.50-3.63, 7 Dy 3.54-3.84, 3 Pm 3.63-3.73
Ho 0.1555 0.8445 0.0423  8 Dy 3.39-3.72, 2 Ho 3.61-3.69
Ho 0.1555 0.8445 0.4577  8 Dy 3.39-3.72, 2 Ho 3.61-3.69
Ho 0.4671 0.5329 0.1212  5 Dy 3.12-3.30
Ho 0.4671 0.5329 0.3788  5 Dy 3.12-3.30
Ho 0.5329 0.4671 0.6212  5 Dy 3.12-3.30
Ho 0.5329 0.4671 0.8788  5 Dy 3.12-3.30
Ho 0.8445 0.1555 0.5423  8 Dy 3.39-3.72, 2 Ho 3.61-3.69
Ho 0.8445 0.1555 0.9577  8 Dy 3.39-3.72, 2 Ho 3.61-3.69

#2
## PmDy6Ho4 (GGA-PBE)

Data for a relaxed structure of PmDy6Ho4.

Output
**DOS at the Fermi energy**: 1.3381 states/eV/atom
**Calculated density**: 7.9 g/cm3

abc: 8.4692 8.4692 8.4692
angles: 126.92 126.92 78.38
Closest atoms and distances in Å follow each position.
Atoms (fractional coordinates):
Pm 0.0000 0.0000 0.0000  8 Dy 3.55-3.78, 4 Ho 3.74
Dy 0.0000 0.5000 0.5000  4 Ho 3.01
Dy 0.0542 0.5735 0.0000  3 Ho 3.20-3.58, 1 Pm 3.55
Dy 0.4265 0.4265 0.4807  3 Ho 3.20-3.58, 1 Pm 3.55
Dy 0.5000 0.0000 0.5000  4 Ho 3.01
Dy 0.5735 0.0542 0.0000  3 Ho 3.20-3.58, 1 Pm 3.55
Dy 0.9458 0.9458 0.5193  3 Ho 3.20-3.58, 1 Pm 3.55
Ho 0.2578 0.2578 0.6716  3 Dy 3.01-3.20, 2 Ho 3.22
Ho 0.4139 0.7422 0.0000  3 Dy 3.01-3.20, 2 Ho 3.22
Ho 0.5861 0.5861 0.3284  3 Dy 3.01-3.20, 2 Ho 3.22
Ho 0.7422 0.4139 0.0000  3 Dy 3.01-3.20, 2 Ho 3.22

Which structure loses on stability? #2 does.